Record 1
A PBEsol-optimized structure of Re2PtBr, computed with meta-GGA SCAN.

energy relative to the elements, uncorrected = 0.7039 eV per atom
space group = Pmmm, No. 47

Lattice parameters (Å, degrees): 2.874 3.760 6.344 90.00 90.00 90.00
Fractional coordinates of all 4 atoms:
Re 0.500 0.000 0.194
Re 0.500 0.000 0.806
Br 0.500 0.500 0.500
Pt 0.000 0.500 0.000

---

Record 2
A PBEsol-optimized structure of Sn2ClF, computed with meta-GGA SCAN.

energy relative to the elements, uncorrected = -0.4652 eV per atom
space group = Fm-3m, No. 225

Lattice parameters (Å, degrees): 4.894 4.894 4.894 60.00 60.00 60.00
Fractional coordinates of all 4 atoms:
F 0.000 0.000 0.000
Sn 0.250 0.250 0.250
Sn 0.750 0.750 0.750
Cl 0.500 0.500 0.500

---

Record 3
A PBEsol-optimized structure of NbCoB2, computed with meta-GGA SCAN.

E_form = 0.34 eV per formula unit
space group = I4_1/amd, No. 141
energy above the most stable polymorph in this dataset = 655 meV/atom

Lattice parameters (Å, degrees): 3.588 3.588 7.179 104.47 104.47 90.00
Fractional coordinates of all 8 atoms:
Nb 0.000 0.000 0.000
Nb 0.250 0.750 0.500
B 0.625 0.375 0.750
B 0.125 0.375 0.750
B 0.625 0.875 0.250
B 0.625 0.375 0.250
Co 0.500 0.500 0.000
Co 0.750 0.250 0.500

---

Record 4
A PBEsol-optimized structure of K3Er, computed with meta-GGA SCAN.

E_form = 2.53 eV per formula unit
space group = P6_3/mmc, No. 194
energy above the most stable polymorph in this dataset = 0 meV/atom

Lattice parameters (Å, degrees): 6.907 8.418 8.418 120.00 90.00 90.00
Fractional coordinates of all 8 atoms:
K 0.250 0.656 0.828
K 0.250 0.172 0.344
K 0.250 0.172 0.828
K 0.750 0.344 0.172
K 0.750 0.828 0.656
K 0.750 0.828 0.172
Er 0.750 0.333 0.667
Er 0.250 0.667 0.333

---

Record 5
A PBEsol-optimized structure of MgMoBr2, computed with meta-GGA SCAN.

energy relative to the elements, uncorrected = -0.1893 eV per atom
space group = Pm, No. 6
energy above the most stable polymorph in this dataset = 0 meV/atom

Lattice parameters (Å, degrees): 3.366 3.540 7.816 103.17 90.00 90.00
Fractional coordinates of all 4 atoms:
Br 0.000 0.158 0.939
Br 0.500 0.858 0.343
Mg 0.000 0.447 0.520
Mo 0.500 0.037 0.698

---

Record 6
A PBEsol-optimized structure of Re2POs, computed with meta-GGA SCAN.

E_form = -0.28 eV per formula unit
space group = P4/mmm, No. 123

Lattice parameters (Å, degrees): 2.850 2.850 6.589 90.00 90.00 90.00
Fractional coordinates of all 4 atoms:
Os 0.500 0.500 0.000
P 0.500 0.500 0.500
Re 0.000 0.000 0.720
Re 0.000 0.000 0.280

---

no.,mass density (g cm⁻³)
1,15.7
2,5.8
3,6.7
4,2.2
5,5.1
6,18.4